TiPbCl6 | PBE | optimized geometry

Structure (POSCAR):
```
TiPbCl6
1.0
-2.4748 5.3435 -3.3113
-5.0725 -2.2738 -3.8396
-6.1781 1.5723 7.7085
Cl Pb Ti
12 2 2
Direct
0.1426 0.2034 0.9996
0.4466 0.8647 0.7894
0.8574 0.7966 0.0004
0.6009 0.2613 0.8976
0.2034 0.1426 0.4996
0.8647 0.4466 0.2894
0.7387 0.3991 0.6024
0.5534 0.1353 0.2106
0.1353 0.5534 0.7106
0.3991 0.7387 0.1024
0.7966 0.8574 0.5004
0.2613 0.6009 0.3976
0.0195 0.9805 0.2500
0.9805 0.0195 0.7500
0.0000 0.5000 0.5000
0.5000 0.0000 0.0000
```

Properties
- Space group: No. 15
- Theoretical density: 3.6 g cm⁻³
- V: 437.1 Å³/cell
- Crystal system: monoclinic
- Total magnetic moment: 0.00 μB/f.u.
- E_tot: -4.2009 eV/atom
- Energy relative to the elements, uncorrected: -10.92 eV per formula unit
- Offset from the most stable computed form: 0.0 meV per atom